(1)
CuAsF3 after structural relaxation. Source: Alexandria via LeMat-Bulk, functional GGA-PBE.

Values from the calculation:
* total moment: 0.00 μB/cell
* offset from the most stable computed form: 92 meV/atom

```
5
Lattice="-1.995 3.458 -0.653 -3.510 -1.903 0.648 0.247 0.886 3.939" Properties=species:S:1:pos:R:3 pbc="T T T"
As -2.629 1.221 1.967
Cu 0.000 0.000 0.000
F -1.755 -0.952 0.324
F 0.123 0.443 1.970
F -0.998 1.729 -0.327
```

---

(2)
Np3VN6 after structural relaxation. Source: Alexandria via LeMat-Bulk, functional GGA-PBE.

Values from the calculation:
* total moment: 16.00 μB/cell

```
20
Lattice="-4.514 0.917 -2.770 -3.605 -4.226 4.476 -0.570 6.421 3.056" Properties=species:S:1:pos:R:3 pbc="T T T"
Np -5.806 1.055 4.926
Np -7.411 3.801 3.236
Np -3.732 2.617 2.412
Np -6.627 0.834 1.326
Np -4.855 2.458 -1.375
Np -3.250 -0.289 0.315
V -1.217 4.341 3.303
V -5.317 -1.667 2.781
N -3.730 1.484 4.403
N -5.901 2.246 2.978
N -2.848 4.096 4.075
N -6.527 -0.433 3.356
N -1.431 6.029 2.693
N -4.197 4.768 1.527
N -3.687 -1.820 3.729
N -6.418 -3.088 2.585
N -1.570 3.424 1.770
N -5.249 -1.104 1.050
N -2.408 0.789 2.018
N -4.578 1.550 0.592
```

---

(3)
LiSmScRu after structural relaxation. Source: Alexandria via LeMat-Bulk, functional GGA-PBE.

Values from the calculation:
* E_form: -243 meV per atom
* total moment: 0.00 μB/cell

```
4
Lattice="-0.403 3.048 3.714 -2.095 -1.451 4.093 2.660 -0.666 3.965" Properties=species:S:1:pos:R:3 pbc="T T T"
Sc 0.000 0.000 0.000
Ru 0.122 0.698 8.829
Sm 0.081 0.465 5.886
Li 0.041 0.233 2.943
```

---

(4)
Sm7Er12Mg after structural relaxation. Source: Alexandria via LeMat-Bulk, functional GGA-PBE.

Values from the calculation:
* E_form: 210 meV per atom
* total moment: 0.00 μB/cell

```
20
Lattice="0.607 6.080 6.162 5.325 -4.729 4.957 7.189 3.513 -3.358" Properties=species:S:1:pos:R:3 pbc="T T T"
Sm 10.334 5.547 5.125
Sm 1.753 2.573 2.342
Sm 3.715 1.170 -0.095
Sm 6.561 2.432 3.881
Sm 9.406 3.693 7.856
Sm 11.368 2.290 5.419
Sm 2.787 -0.683 2.636
Er 7.146 6.631 4.038
Er 2.877 3.830 5.454
Er 4.700 4.841 2.791
Er 5.957 4.231 6.498
Er 6.321 3.562 -0.202
Er 8.555 4.247 2.097
Er 4.566 0.616 5.664
Er 6.800 1.301 7.963
Er 7.164 0.632 1.263
Er 8.421 0.022 4.970
Er 10.245 1.034 2.307
Er 5.975 -1.768 3.723
Mg 0.000 0.000 0.000
```

---

(5)
ReAgAs2 after structural relaxation. Source: Alexandria via LeMat-Bulk, functional GGA-PBE.

Values from the calculation:
* E_form: 737 meV per atom
* total moment: 0.00 μB/cell
* offset from the most stable computed form: 586 meV/atom

```
4
Lattice="3.180 0.000 0.000 0.000 5.115 0.000 0.000 0.000 4.214" Properties=species:S:1:pos:R:3 pbc="T T T"
Re 1.590 0.000 2.107
As 0.000 0.000 0.000
As 1.590 2.558 0.000
Ag 0.000 2.558 2.107
```

---

(6)
TaHgP after structural relaxation. Source: Alexandria via LeMat-Bulk, functional GGA-PBE.

Values from the calculation:
* E_form: 188 meV per atom
* total moment: 0.00 μB/cell
* offset from the most stable computed form: 223 meV/atom

```
3
Lattice="-5.465 3.212 4.058 -6.740 2.592 1.455 -0.889 -2.126 1.864" Properties=species:S:1:pos:R:3 pbc="T T T"
Ta -8.613 3.287 4.355
Hg -1.067 -2.001 1.921
P -4.303 0.267 2.965
```

---

(7)
Sc5Cd6Ag after structural relaxation. Source: Alexandria via LeMat-Bulk, functional GGA-PBE.

Values from the calculation:
* E_form: -245 meV per atom
* total moment: 0.00 μB/cell

```
12
Lattice="-1.881 -4.239 1.628 -1.560 -1.886 -6.716 8.356 -0.130 1.899" Properties=species:S:1:pos:R:3 pbc="T T T"
Sc 3.607 -3.054 -3.784
Sc 0.489 -4.126 -2.759
Sc -0.780 -0.943 -3.358
Sc 4.425 -2.129 -0.430
Sc 1.307 -3.201 0.596
Ag 0.000 0.000 0.000
Cd 1.786 -1.497 -1.835
Cd 0.981 -2.471 -5.301
Cd -1.317 -2.574 -0.805
Cd -2.125 -3.551 -4.282
Cd 3.933 -3.784 2.113
Cd 3.128 -4.758 -1.354
```

---

(8)
AgAu after structural relaxation. Source: Alexandria via LeMat-Bulk, functional GGA-PBE.

Values from the calculation:
* E_form: -45 meV per atom
* total moment: 0.00 μB/cell

```
4
Lattice="5.103 -0.028 -0.005 1.689 4.815 0.005 -3.393 -2.398 2.917" Properties=species:S:1:pos:R:3 pbc="T T T"
Au 3.828 -0.022 0.725
Au -0.429 2.411 2.191
Ag 2.121 2.400 0.730
Ag 1.278 -0.010 2.186
```

---

(9)
YHoRh after structural relaxation. Source: Alexandria via LeMat-Bulk, functional GGA-PBE.

Values from the calculation:
* E_form: -396 meV per atom
* total moment: 0.00 μB/cell
* offset from the most stable computed form: 250 meV/atom

```
3
Lattice="4.040 0.000 0.000 0.000 4.579 0.000 0.000 -2.289 3.965" Properties=species:S:1:pos:R:3 pbc="T T T"
Y 2.437 2.289 1.322
Rh 1.304 0.000 2.644
Ho 0.300 0.000 0.000
```

---

(10)
Pr4Ho2TmTh after structural relaxation. Source: Alexandria via LeMat-Bulk, functional GGA-PBE.

Values from the calculation:
* E_form: 136 meV per atom
* total moment: 0.00 μB/cell

```
8
Lattice="-0.306 5.176 -3.092 -6.413 3.338 6.222 0.889 3.100 5.102" Properties=species:S:1:pos:R:3 pbc="T T T"
Pr -4.124 4.826 8.486
Pr -1.705 6.789 -0.254
Pr -4.720 5.867 4.395
Pr -1.109 5.747 3.837
Ho 0.889 3.100 5.102
Ho 0.292 4.138 1.005
Tm -2.762 3.219 5.662
Th -2.470 7.357 6.667
```

---

(11)
Sr2Rh2Se after structural relaxation. Source: Alexandria via LeMat-Bulk, functional GGA-PBE.

Values from the calculation:
* total moment: 4.02 μB/cell
* offset from the most stable computed form: 599 meV/atom

```
10
Lattice="8.164 0.000 0.000 0.000 8.164 0.000 0.000 0.000 4.380" Properties=species:S:1:pos:R:3 pbc="T T T"
Sr 2.665 6.747 0.000
Sr 6.747 5.499 0.000
Sr 5.499 1.417 0.000
Sr 1.417 2.665 0.000
Rh 0.845 4.927 2.190
Rh 4.927 7.320 2.190
Rh 7.320 3.238 2.190
Rh 3.238 0.845 2.190
Se 0.000 0.000 0.000
Se 4.082 4.082 0.000
```

---

(12)
BaCaEuSbO6 after structural relaxation. Source: Alexandria via LeMat-Bulk, functional GGA-PBE.

Values from the calculation:
* total moment: 0.00 μB/cell
* offset from the most stable computed form: 0 meV/atom

```
20
Lattice="-3.243 -4.495 2.164 2.961 -3.787 -3.522 5.766 -1.226 6.149" Properties=species:S:1:pos:R:3 pbc="T T T"
Ba 1.281 -4.329 0.900
Ba 4.203 -5.179 3.892
Ca 1.139 -8.457 0.245
Ca 4.345 -1.051 4.547
Eu 1.481 -1.893 -1.761
Eu 1.261 -2.861 4.157
Sb -1.621 -2.248 1.082
Sb 4.363 -2.506 1.314
O 5.330 -7.766 4.591
O 1.485 -5.040 3.566
O 0.154 -1.742 0.201
O 3.999 -4.468 1.226
O 4.288 -5.359 6.588
O 2.854 -7.337 2.443
O 1.196 -4.149 -1.796
O 2.630 -2.171 2.349
O 2.315 -6.607 -0.740
O 0.139 -6.813 1.705
O 3.169 -2.901 5.532
O 5.345 -2.695 3.087
```

---

| no. | raw total energy (eV per cell) |
| --- | --- |
| 1 | -18.3 |
| 2 | -217.8 |
| 3 | -23.2 |
| 4 | -85.2 |
| 5 | -21.7 |
| 6 | -17.0 |
| 7 | -42.9 |
| 8 | -12.4 |
| 9 | -19.6 |
| 10 | -39.1 |
| 11 | -43.8 |
| 12 | -144.2 |